# PBE TaBeNO, relaxed
data_TaBeNO
_chemical_formula_sum 'Ta2 Be2 N2 O2'
_symmetry_space_group_name_H-M 'P m c 21'
_symmetry_Int_Tables_number 26
_cell_length_a 2.9957
_cell_length_b 5.9069
_cell_length_c 4.3413
_cell_angle_alpha 90.00
_cell_angle_beta 90.00
_cell_angle_gamma 90.00
loop_
_symmetry_equiv_pos_as_xyz
'x,y,z'
'-x,-y,z+1/2'
'-x,y,z'
'x,-y,z+1/2'
loop_
_atom_site_label
_atom_site_fract_x
_atom_site_fract_y
_atom_site_fract_z
Ta1 0.0000 0.1480 0.0000
Be1 0.5000 0.3489 0.5573
N1 0.0000 0.2053 0.4901
O1 0.5000 0.3949 0.9364
# energy above the lowest structure with this stoichiometry	0.85	eV per formula unit
# crystal system	orthorhombic
# total magnetic moment	0.00	μB/f.u.